# 1
# Ti4In2H

Ti4In2H after structural relaxation (GGA-PBE, Alexandria via LeMat-Bulk).

Cell: 5.815 2.923 7.116 Å, 90.00 99.74 90.00°
Space group Pm (No. 6)
One atom of each set of equivalent atoms:
Ti: 0.000 0.000 0.000
Ti: 0.153 0.000 0.650
Ti: 0.308 0.500 0.302
Ti: 0.840 0.500 0.294
In: 0.502 0.000 0.999
In: 0.649 0.000 0.613
H: 0.109 0.500 0.486

Computed properties:
total magnetic moment: 0.00 μB per formula unit
energy relative to the lowest polymorph listed for this composition: 62 meV/atom
DOS(E_F): 8.08 states/eV/f.u.

---

# 2
# Ti3InH

Ti3InH after structural relaxation (GGA-PBE, Alexandria via LeMat-Bulk).

Cell: 5.2304 5.2304 20.7794 Å, 90.00 90.00 120.00°
Space group R-3 (No. 148, hexagonal axes)
One atom of each set of equivalent atoms:
Ti: 0.0065 0.3481 0.2810
In: 0.0000 0.0000 0.1677
H: 0.0000 0.0000 0.3327

Computed properties:
total magnetic moment: 0.00 μB per formula unit
raw total energy: -29.9 eV/f.u.
DOS(E_F): 4.28 states/eV/f.u.

---

# 3
# Ti4InH

Ti4InH after structural relaxation (GGA-PBE, Alexandria via LeMat-Bulk).

Cell: 2.900 15.376 8.799 Å, 90.00 90.00 90.00°
Space group Cmcm (No. 63)
One atom of each set of equivalent atoms:
Ti: 0.000 0.000 0.000
Ti: 0.000 0.177 0.030
Ti: 0.000 0.416 0.750
In: 0.000 0.387 0.250
H: 0.000 0.167 0.250

Computed properties:
total magnetic moment: 0.00 μB per formula unit
energy relative to the lowest polymorph listed for this composition: 188 meV/atom
DOS(E_F): 6.63 states/eV/f.u.

---

# 4
# Ti3InH

Ti3InH after structural relaxation (GGA-PBE, Alexandria via LeMat-Bulk).

Cell: 4.7185 4.7185 8.0809 Å, 90.00 90.00 120.00°
Space group P6_3/mmc (No. 194)
One atom of each set of equivalent atoms:
Ti: 0.0000 0.0000 0.2500
Ti: 0.3333 0.6667 0.0949
In: 0.3333 0.6667 0.7500
H: 0.0000 0.0000 0.0000

Computed properties:
total magnetic moment: 1.27 μB per formula unit
raw total energy: -29.4 eV/f.u.
DOS(E_F): 4.71 states/eV/f.u.